LaZr2Ag meta-GGA SCAN PBEsol geometry; offset from the most stable computed form = 0.214 eV/atom; energy of formation from the pure elements = 0.161 eV/atom; DOS(E_F) = 1.044 states/eV/atom; total energy = -135.23 eV per formula unit; spin magnetization = 0.00 μB/atom
1.0
-1.322 1.777 -2.328
-2.413 -4.275 -1.892
-3.993 0.577 3.790
Zr La Ag
2 1 1
Cartesian
-1.327 0.670 0.179
-3.988 1.684 1.283
-3.203 -1.849 0.949
-1.868 -1.249 -2.110